Entry from the Alexandria database: a geometry-optimized Sc2CrAg structure (GGA-PBE).

Lattice parameters (Å, degrees): 9.3871 9.3871 9.3871 18.90 18.90 18.90
With the nearest neighbours (Å) after each atom.
Fractional positions:
Ag: 0.2500 0.2500 0.2500  6 Sc 3.06, 6 Ag 3.08
Cr: 0.7500 0.7500 0.7500  6 Sc 2.76, 6 Cr 3.08
Sc: 0.0069 0.0069 0.0069  3 Cr 2.76, 3 Ag 3.06, 6 Sc 3.08
Sc: 0.4931 0.4931 0.4931  3 Cr 2.76, 3 Ag 3.06, 6 Sc 3.08

* M_tot: 1.72 μB/cell
* formation energy: 22 kJ/mol of atoms
* energy: -6.05 eV/atom

***

Entry from the Alexandria database: a geometry-optimized ScCr2Ag structure (GGA-PBE).

Lattice parameters (Å, degrees): 3.0375 3.0375 7.0357 90.00 90.00 90.00
With the nearest neighbours (Å) after each atom.
Fractional positions:
Ag: 0.5000 0.5000 0.7758  5 Cr 2.86-3.05, 4 Ag 3.04, 4 Sc 3.04
Cr: 0.0000 0.0000 0.0452  4 Cr 2.44
Cr: 0.5000 0.5000 0.2091  4 Cr 2.44
Sc: 0.0000 0.0000 0.4699  5 Cr 2.82-2.99, 4 Sc 3.04, 4 Ag 3.04

* M_tot: 1.10 μB/cell
* formation energy: 15 kJ/mol of atoms
* energy: -6.96 eV/atom

***

Entry from the Alexandria database: a geometry-optimized ScCrAg structure (GGA-PBE).

Lattice parameters (Å, degrees): 4.5517 4.5517 4.5517 60.00 60.00 60.00
With the nearest neighbours (Å) after each atom.
Fractional positions:
Ag: 0.7500 0.7500 0.7500  4 Cr 2.79, 4 Sc 2.79
Cr: 0.0000 0.0000 0.0000  4 Ag 2.79
Sc: 0.5000 0.5000 0.5000  4 Ag 2.79

* M_tot: 3.92 μB/cell
* formation energy: 49 kJ/mol of atoms
* energy: -5.76 eV/atom

***

Entry from the Alexandria database: a geometry-optimized ScCr2Ag structure (GGA-PBE).

Lattice parameters (Å, degrees): 5.0290 5.3082 2.7130 80.03 79.98 115.42
With the nearest neighbours (Å) after each atom.
Fractional positions:
Ag: 0.5000 0.5000 0.0000  2 Sc 2.64, 2 Ag 2.71, 4 Cr 2.76
Cr: 0.0000 0.0000 0.0000  4 Cr 2.64-2.71, 2 Sc 2.76, 2 Ag 2.76
Cr: 0.5000 0.0000 0.5000  4 Cr 2.64-2.71, 2 Ag 2.76, 2 Sc 2.76
Sc: 0.0000 0.5000 0.5000  2 Ag 2.64, 2 Sc 2.71, 4 Cr 2.76

* M_tot: 1.48 μB/cell
* formation energy: 55 kJ/mol of atoms
* energy: -6.54 eV/atom

***

Entry from the Alexandria database: a geometry-optimized Sc2CrAg structure (GGA-PBE).

Lattice parameters (Å, degrees): 3.2367 3.2367 7.2423 90.00 90.00 90.00
With the nearest neighbours (Å) after each atom.
Fractional positions:
Ag: 0.5000 0.5000 0.2500  8 Sc 3.03, 4 Ag 3.24
Cr: 0.5000 0.5000 0.7500  8 Sc 2.81
Sc: 0.0000 0.0000 0.9763  4 Cr 2.81, 4 Ag 3.03
Sc: 0.0000 0.0000 0.5237  4 Cr 2.81, 4 Ag 3.03

* M_tot: 2.05 μB/cell
* formation energy: -1 kJ/mol of atoms
* energy: -6.30 eV/atom

***

Entry from the Alexandria database: a geometry-optimized ScCr2Ag structure (GGA-PBE).

Lattice parameters (Å, degrees): 8.7781 8.7781 8.7781 19.23 19.23 19.23
With the nearest neighbours (Å) after each atom.
Fractional positions:
Ag: 0.7435 0.7435 0.7435  3 Cr 2.87, 6 Ag 2.93, 3 Sc 3.03
Cr: 0.9871 0.9871 0.9871  3 Cr 2.27
Cr: 0.2620 0.2620 0.2620  3 Cr 2.27
Sc: 0.5074 0.5074 0.5074  3 Cr 2.83, 6 Sc 2.93, 3 Ag 3.03

* M_tot: 0.00 μB/cell
* formation energy: 36 kJ/mol of atoms
* energy: -6.73 eV/atom

***

Entry from the Alexandria database: a geometry-optimized ScCr2Ag structure (GGA-PBE).

Lattice parameters (Å, degrees): 3.8866 4.0877 4.3242 90.00 90.00 90.00
With the nearest neighbours (Å) after each atom.
Fractional positions:
Ag: 0.0000 0.5000 0.5000  4 Sc 2.82, 8 Cr 2.91-2.98
Cr: 0.0000 0.0000 0.0000  4 Cr 2.82, 4 Sc 2.91, 4 Ag 2.98
Cr: 0.5000 0.5000 0.0000  4 Cr 2.82, 4 Ag 2.91, 4 Sc 2.98
Sc: 0.5000 0.0000 0.5000  4 Ag 2.82, 8 Cr 2.91-2.98

* M_tot: 0.26 μB/cell
* formation energy: 26 kJ/mol of atoms
* energy: -6.84 eV/atom

***

Entry from the Alexandria database: a geometry-optimized ScCr2Ag structure (GGA-PBE).

Lattice parameters (Å, degrees): 9.9889 9.9889 9.9889 16.92 16.92 16.92
With the nearest neighbours (Å) after each atom.
Fractional positions:
Ag: 0.9095 0.9095 0.9095  4 Cr 2.72-2.86, 6 Ag 2.94
Cr: 0.0016 0.0016 0.0016  1 Sc 2.63, 1 Ag 2.72, 6 Cr 2.94
Cr: 0.4981 0.4981 0.4981  3 Sc 2.77, 3 Ag 2.86, 6 Cr 2.94
Sc: 0.0908 0.0908 0.0908  4 Cr 2.63-2.77, 6 Sc 2.94

* M_tot: 1.43 μB/cell
* formation energy: 76 kJ/mol of atoms
* energy: -6.32 eV/atom